Density functional theory data (PBE-GGA) for crystalline Dy2ThAl at its relaxed geometry.

```
data_Dy2ThAl
_chemical_formula_sum 'Dy2 Th1 Al1'
_symmetry_space_group_name_H-M 'P 1'
_symmetry_Int_Tables_number 1
_cell_length_a 5.365
_cell_length_b 5.365
_cell_length_c 5.365
_cell_angle_alpha 60.00
_cell_angle_beta 60.00
_cell_angle_gamma 60.00
loop_
_symmetry_equiv_pos_as_xyz
'x,y,z'
loop_
_atom_site_label
_atom_site_fract_x
_atom_site_fract_y
_atom_site_fract_z
Dy1 0.750 0.750 0.750
Dy2 0.250 0.250 0.250
Th1 0.000 0.000 0.000
Al1 0.500 0.500 0.500
```

calculated volume	27.30	A^3/atom
total magnetization	0.0	Bohr magnetons per cell
VASP energy	-5.0276	eV/atom
ΔE to the lowest computed polymorph	247	meV per atom